Pm2Sm8Ho | PBE | optimized geometry

Cell and atoms, written as CIF:
```
data_Pm2Sm8Ho
_cell_length_a 9.5737
_cell_length_b 9.5737
_cell_length_c 8.1067
_cell_angle_alpha 104.74
_cell_angle_beta 104.74
_cell_angle_gamma 31.03
_space_group_name_H-M_alt 'P 1'
_space_group_IT_number 1
loop_
_space_group_symop_operation_xyz
'x,y,z'
loop_
_atom_site_label
_atom_site_type_symbol
_atom_site_fract_x
_atom_site_fract_y
_atom_site_fract_z
_atom_site_occupancy
Pm1 Pm 0.2269 0.2269 0.1364 1
Pm2 Pm 0.7731 0.7731 0.8636 1
Sm1 Sm 0.0452 0.0452 0.2284 1
Sm2 Sm 0.1357 0.1357 0.6802 1
Sm3 Sm 0.3187 0.3187 0.5908 1
Sm4 Sm 0.4097 0.4097 0.0474 1
Sm5 Sm 0.5903 0.5903 0.9526 1
Sm6 Sm 0.6813 0.6813 0.4092 1
Sm7 Sm 0.8643 0.8643 0.3198 1
Sm8 Sm 0.9548 0.9548 0.7716 1
Ho1 Ho 0.5000 0.5000 0.5000 1
```

As for the space group: C2/m. The volume is 33.6 A^3/atom. The excess energy over the best structure of this formula in the dataset comes out at 0 meV/atom. Its crystal system is monoclinic. The value obtained for the formation energy is 0.015 eV per atom.

---

Pm5Sm2Ho2 | PBE | optimized geometry

Cell and atoms, written as CIF:
```
data_Pm5Sm2Ho2
_cell_length_a 10.4580
_cell_length_b 10.4580
_cell_length_c 10.4580
_cell_angle_alpha 86.69
_cell_angle_beta 103.54
_cell_angle_gamma 145.45
_space_group_name_H-M_alt 'P 1'
_space_group_IT_number 1
loop_
_space_group_symop_operation_xyz
'x,y,z'
loop_
_atom_site_label
_atom_site_type_symbol
_atom_site_fract_x
_atom_site_fract_y
_atom_site_fract_z
_atom_site_occupancy
Pm1 Pm 0.1571 0.4872 0.9573 1
Pm2 Pm 0.1571 0.6998 0.1699 1
Pm3 Pm 0.1989 0.0473 0.2462 1
Pm4 Pm 0.1989 0.4527 0.6515 1
Pm5 Pm 0.5299 0.1998 0.0427 1
Pm6 Pm 0.5299 0.9872 0.8301 1
Pm7 Pm 0.5836 0.5115 0.5721 1
Pm8 Pm 0.8011 0.5473 0.3485 1
Pm9 Pm 0.8011 0.9527 0.7538 1
Pm10 Pm 0.9393 0.0115 0.4279 1
Sm1 Sm 0.2321 0.0383 0.6938 1
Sm2 Sm 0.3445 0.5383 0.3062 1
Sm3 Sm 0.4183 0.4183 0.0000 1
Sm4 Sm 0.4183 0.9183 0.5000 1
Ho1 Ho 0.8014 0.2147 0.3144 1
Ho2 Ho 0.8014 0.9870 0.0867 1
Ho3 Ho 0.9003 0.4870 0.6856 1
Ho4 Ho 0.9003 0.7147 0.9133 1
```

As for the space group: Ima2. The volume is 34.0 A^3/atom. The excess energy over the best structure of this formula in the dataset comes out at 149 meV/atom. Its crystal system is orthorhombic. The value obtained for the formation energy is 0.166 eV per atom.

---

Pm3SmHo4 | PBE | optimized geometry

Cell and atoms, written as CIF:
```
data_Pm3SmHo4
_cell_length_a 11.4734
_cell_length_b 7.3009
_cell_length_c 6.2975
_cell_angle_alpha 90.00
_cell_angle_beta 90.00
_cell_angle_gamma 90.00
_space_group_name_H-M_alt 'P 1'
_space_group_IT_number 1
loop_
_space_group_symop_operation_xyz
'x,y,z'
loop_
_atom_site_label
_atom_site_type_symbol
_atom_site_fract_x
_atom_site_fract_y
_atom_site_fract_z
_atom_site_occupancy
Pm1 Pm 0.0000 0.1274 0.0000 1
Pm2 Pm 0.2500 0.1274 0.3343 1
Pm3 Pm 0.2500 0.8726 0.8343 1
Pm4 Pm 0.5000 0.8726 0.5000 1
Pm5 Pm 0.7500 0.1274 0.3343 1
Pm6 Pm 0.7500 0.8726 0.8343 1
Sm1 Sm 0.0000 0.8723 0.4998 1
Sm2 Sm 0.5000 0.1277 0.9998 1
Ho1 Ho 0.0000 0.3782 0.5006 1
Ho2 Ho 0.0000 0.6219 0.0008 1
Ho3 Ho 0.2502 0.3781 0.8332 1
Ho4 Ho 0.2498 0.6219 0.3332 1
Ho5 Ho 0.5000 0.3781 0.5008 1
Ho6 Ho 0.5000 0.6218 0.0006 1
Ho7 Ho 0.7498 0.3781 0.8332 1
Ho8 Ho 0.7502 0.6219 0.3332 1
```

As for the space group: Pmn2_1. The volume is 33.0 A^3/atom. The excess energy over the best structure of this formula in the dataset comes out at 7 meV/atom. Its crystal system is orthorhombic. The value obtained for the formation energy is 0.024 eV per atom.